NaLa2Tc after structural relaxation, computed with PBE.

a b c (Å): 3.5490 3.5490 9.6096
angles (deg): 90.00 90.00 90.00
Last column: nearest neighbours and their distance in Å.
Space group P4/mmm (No. 123)
Symmetry-distinct sites (fractional):
Na (0.0000, 0.0000, 0.0000) (multiplicity 1)  4 Na 3.55, 8 La 3.97
La (0.5000, 0.5000, 0.3197) (multiplicity 2)  4 Tc 3.05
Tc (0.0000, 0.0000, 0.5000) (multiplicity 1)  8 La 3.05

Results
The value obtained for the energy above the most stable polymorph in this dataset is 0.000 eV per atom. The total moment is 0.000 μB per atom. For the formation energy, the calculation gives 51 meV/atom.

***

NaLaTc3 after structural relaxation, computed with PBE.

a b c (Å): 4.8758 4.8758 4.8758
angles (deg): 90.00 90.00 90.00
Last column: nearest neighbours and their distance in Å.
Space group Pm-3m (No. 221)
Symmetry-distinct sites (fractional):
Na (0.0000, 0.0000, 0.0000) (multiplicity 1)  12 Tc 3.45
La (0.5000, 0.5000, 0.5000) (multiplicity 1)  6 Tc 2.44
Tc (0.0000, 0.5000, 0.5000) (multiplicity 3)  2 La 2.44

Results
The value obtained for the energy above the most stable polymorph in this dataset is 0.043 eV per atom. The total moment is 0.786 μB per atom. For the formation energy, the calculation gives 1969 meV/atom.

***

NaLa2Tc after structural relaxation, computed with PBE.

a b c (Å): 8.3551 8.3551 7.4103
angles (deg): 90.00 90.00 90.00
Last column: nearest neighbours and their distance in Å.
Space group I-42d (No. 122)
Symmetry-distinct sites (fractional):
Na (0.0000, 0.0000, 0.0000) (multiplicity 4)  8 La 3.66-3.72, 2 Tc 3.71
La (0.1585, 0.7500, 0.6250) (multiplicity 8)  2 Tc 2.64
Tc (0.0000, 0.0000, 0.5000) (multiplicity 4)  4 La 2.64

Results
The value obtained for the energy above the most stable polymorph in this dataset is 0.294 eV per atom. The total moment is 0.000 μB per atom. For the formation energy, the calculation gives 345 meV/atom.

***

NaLa2Tc after structural relaxation, computed with PBE.

a b c (Å): 7.4477 7.4477 7.4477
angles (deg): 90.00 90.00 90.00
Last column: nearest neighbours and their distance in Å.
Space group Fm-3m (No. 225)
Symmetry-distinct sites (fractional):
Na (0.0000, 0.0000, 0.0000) (multiplicity 4)  8 La 3.22
La (0.2500, 0.2500, 0.2500) (multiplicity 8)  4 Na 3.22, 4 Tc 3.22
Tc (0.0000, 0.0000, 0.5000) (multiplicity 4)  8 La 3.22

Results
The value obtained for the energy above the most stable polymorph in this dataset is 0.211 eV per atom. The total moment is 0.000 μB per atom. For the formation energy, the calculation gives 262 meV/atom.